Compound: Cs2LiAlF6
Source: the Alexandria database
Functional: PBE-GGA
Structure: optimized geometry

Summary:
Raw formation energy: -3.152 eV per atom
Total magnetization: 0.00 μB per formula unit
Theoretical density: 4.112 g/cm³

abc: 6.2780 6.8551 7.7639
angles: 90.00 90.00 90.00
Sites, in units of the cell vectors:
Cs: 0.5000 0.7889 0.2640
Cs: 0.0000 0.2111 0.7640
Cs: 0.5000 0.7889 0.7360
Cs: 0.0000 0.2111 0.2360
Li: 0.0000 0.6131 0.5000
Li: 0.5000 0.3869 0.0000
Al: 0.5000 0.2932 0.5000
Al: 0.0000 0.7068 0.0000
F: 0.5000 0.3002 0.2566
F: 0.5000 0.3002 0.7434
F: 0.0000 0.6998 0.2434
F: 0.0000 0.6998 0.7566
F: 0.2996 0.1009 0.5000
F: 0.7004 0.1009 0.5000
F: 0.2836 0.4800 0.5000
F: 0.7164 0.4800 0.5000
F: 0.7836 0.5200 0.0000
F: 0.2164 0.5200 0.0000
F: 0.2004 0.8991 0.0000
F: 0.7996 0.8991 0.0000